## PmCo2WO8 (PBE+U)

Data for PmCo2WO8 after structural relaxation. Values from VASP.

Values from the calculation:
Crystal system: tetragonal
Symmetry: I-4m2 (119)
Energy, eV/cell: -81.2

The structure in Quantum ESPRESSO input format:
```
&SYSTEM
  ibrav = 0, nat = 12, ntyp = 4
/
ATOMIC_SPECIES
Pm 145.00 Pm.upf
Co 58.93 Co.upf
W 183.84 W.upf
O 16.00 O.upf
ATOMIC_POSITIONS crystal
Pm 0.000 0.000 0.000
Co 0.250 0.750 0.500
Co 0.500 0.500 0.000
W 0.750 0.250 0.500
O 0.037 0.374 0.337
O 0.037 0.700 0.663
O 0.103 0.315 0.788
O 0.300 0.963 0.337
O 0.526 0.315 0.212
O 0.626 0.963 0.663
O 0.685 0.474 0.788
O 0.685 0.897 0.212
CELL_PARAMETERS angstrom
-3.440 3.440 3.169
3.440 -3.440 3.169
3.440 3.440 -3.169
```